No. 1
Compound: CaCdAs2
Source: Alexandria
Functional: PBE
Structure: optimized geometry

Geometry as POSCAR:
```
CaCdAs2
1.0
-0.801 3.876 -3.192
0.880 -3.689 -3.386
-3.418 -0.758 -0.063
As Cd Ca
2 1 1
direct
0.500 0.500 0.000 As
0.000 0.000 0.000 As
0.000 0.500 0.500 Cd
0.500 0.000 0.500 Ca
```

Computed properties:
Its calculated volume is 22.3 A^3/atom. The space group is Cmmm. The value obtained for the formation energy is -0.38 eV per atom. The electronic total energy is -13.7 eV/cell.

***

No. 2
Compound: CaCdAs
Source: Alexandria
Functional: PBE
Structure: optimized geometry

Geometry as POSCAR:
```
CaCdAs
1.0
4.902 0.000 0.000
2.451 4.246 0.000
2.451 1.415 4.003
Ca As Cd
1 1 1
direct
0.000 0.000 0.000 Ca
0.750 0.750 0.750 As
0.500 0.500 0.500 Cd
```

Computed properties:
Its calculated volume is 27.8 A^3/atom. The space group is F-43m. The value obtained for the formation energy is -0.51 eV per atom. The energy relative to the lowest polymorph listed for this composition comes out at 94 meV per atom. The electronic total energy is -9.1 eV/cell.

***

No. 3
Compound: Ca2Cd2As
Source: Alexandria
Functional: PBE
Structure: optimized geometry

Geometry as POSCAR:
```
Ca2Cd2As
1.0
-5.987 4.669 1.521
0.806 -1.432 7.567
3.174 3.937 0.407
Cd Ca As
4 4 2
direct
0.640 0.860 0.500 Cd
0.860 0.360 0.500 Cd
0.360 0.140 0.500 Cd
0.140 0.640 0.500 Cd
0.828 0.672 0.000 Ca
0.672 0.172 0.000 Ca
0.328 0.828 0.000 Ca
0.172 0.328 0.000 Ca
0.500 0.500 0.000 As
0.000 0.000 0.000 As
```

Computed properties:
Its calculated volume is 30.4 A^3/atom. The space group is P4/mbm. The value obtained for the formation energy is -0.31 eV per atom. The energy relative to the lowest polymorph listed for this composition comes out at 57 meV per atom. The electronic total energy is -24.0 eV/cell.

***

No. 4
Compound: CaCdAs
Source: Alexandria
Functional: PBE
Structure: optimized geometry

Geometry as POSCAR:
```
CaCdAs
1.0
-2.280 1.495 -3.221
-3.381 -1.947 1.491
-1.288 8.622 2.432
As Cd Ca
2 2 2
direct
0.836 0.933 0.289 As
0.358 0.057 0.534 As
0.361 0.218 0.858 Cd
0.832 0.772 0.965 Cd
0.373 0.408 0.238 Ca
0.821 0.582 0.586 Ca
```

Computed properties:
Its calculated volume is 25.3 A^3/atom. The space group is P-1. The value obtained for the formation energy is -0.60 eV per atom. The energy relative to the lowest polymorph listed for this composition comes out at 0 meV per atom. The electronic total energy is -18.8 eV/cell.

***

No. 5
Compound: CaCd2As2
Source: Alexandria
Functional: PBE
Structure: optimized geometry

Geometry as POSCAR:
```
CaCd2As2
1.0
-3.976 1.582 -1.219
0.797 -0.961 4.270
2.351 6.738 1.078
As Cd Ca
2 2 1
direct
0.333 0.667 0.235 As
0.667 0.333 0.765 As
0.667 0.333 0.366 Cd
0.333 0.667 0.634 Cd
0.000 0.000 0.000 Ca
```

Computed properties:
Its calculated volume is 24.7 A^3/atom. The space group is P-3m1. The value obtained for the formation energy is -0.60 eV per atom. The energy relative to the lowest polymorph listed for this composition comes out at 0 meV per atom. The electronic total energy is -16.1 eV/cell.

***

No. 6
Compound: CaCdAs2
Source: Alexandria
Functional: PBE
Structure: optimized geometry

Geometry as POSCAR:
```
CaCdAs2
1.0
4.461 0.000 0.000
-2.231 3.864 0.000
0.000 -0.001 11.451
As Ca Cd
4 2 2
direct
0.667 0.333 0.667 As
0.333 0.667 0.979 As
0.333 0.667 0.333 As
0.667 0.333 0.021 As
0.000 0.000 0.816 Ca
0.000 0.000 0.184 Ca
0.333 0.667 0.584 Cd
0.667 0.333 0.416 Cd
```

Computed properties:
Its calculated volume is 24.7 A^3/atom. The space group is P-3m1. The value obtained for the formation energy is -0.59 eV per atom. The electronic total energy is -29.1 eV/cell.

***

No. 7
Compound: CaCdAsCl2
Source: Alexandria
Functional: PBE
Structure: optimized geometry

Geometry as POSCAR:
```
CaCdAsCl2
1.0
-4.603 -0.588 -1.966
1.403 -8.968 -0.604
-1.900 -0.609 4.628
Ca As Cl Cd
1 1 2 1
direct
0.000 0.000 0.000 Ca
0.500 0.500 0.500 As
0.000 0.000 0.500 Cl
0.500 0.000 0.000 Cl
0.000 0.500 0.000 Cd
```

Computed properties:
Its calculated volume is 46.2 A^3/atom. The space group is P4/mmm. The uncorrected formation energy comes out at -621 meV per atom. The electronic total energy is -14.4 eV/cell.

***

No. 8
Compound: Ca2CrCdAs
Source: Alexandria
Functional: PBE
Structure: optimized geometry

Geometry as POSCAR:
```
Ca2CrCdAs
1.0
5.647 0.000 0.000
0.000 5.647 0.000
0.000 0.000 4.711
As Ca Cr Cd
1 2 1 1
direct
0.000 0.000 0.000 As
0.000 0.500 0.000 Ca
0.500 0.000 0.000 Ca
0.000 0.000 0.500 Cr
0.500 0.500 0.500 Cd
```

Computed properties:
Its calculated volume is 30.0 A^3/atom. The space group is P4/mmm. The value obtained for the formation energy is -0.16 eV per atom. The electronic total energy is -20.0 eV/cell.

***

No. 9
Compound: CaCdAs2F
Source: Alexandria
Functional: PBE
Structure: optimized geometry

Geometry as POSCAR:
```
CaCdAs2F
1.0
-2.103 1.913 4.695
2.482 -4.043 2.760
5.064 3.644 0.783
Ca As Cd F
1 2 1 1
direct
0.000 0.000 0.000 Ca
0.500 0.000 0.000 As
0.000 0.500 0.000 As
0.000 0.000 0.500 Cd
0.500 0.500 0.500 F
```

Computed properties:
Its calculated volume is 37.9 A^3/atom. The space group is P4/mmm. The uncorrected formation energy comes out at 431 meV per atom. The electronic total energy is -11.9 eV/cell.

***

No. 10
Compound: CaCd2AsF
Source: Alexandria
Functional: PBE
Structure: optimized geometry

Geometry as POSCAR:
```
CaCd2AsF
1.0
-0.384 5.187 -3.007
-4.065 0.046 0.598
0.788 3.030 5.127
Cd F Ca As
2 1 1 1
direct
0.000 0.000 0.500 Cd
0.500 0.000 0.000 Cd
0.000 0.500 0.000 F
0.000 0.000 0.000 Ca
0.500 0.500 0.500 As
```

Computed properties:
Its calculated volume is 29.7 A^3/atom. The space group is P4/mmm. The uncorrected formation energy comes out at -514 meV per atom. The energy relative to the lowest polymorph listed for this composition comes out at 0 meV per atom. The electronic total energy is -12.9 eV/cell.

***

No. 11
Compound: CaCd2AsF
Source: Alexandria
Functional: PBE
Structure: optimized geometry

Geometry as POSCAR:
```
CaCd2AsF
1.0
5.521 0.000 0.000
0.000 4.287 0.000
0.000 0.000 5.521
F As Cd Ca
1 1 2 1
direct
0.000 0.500 0.000 F
0.000 0.000 0.000 As
0.500 0.000 0.000 Cd
0.000 0.000 0.500 Cd
0.500 0.500 0.500 Ca
```

Computed properties:
Its calculated volume is 26.1 A^3/atom. The space group is P4/mmm. The uncorrected formation energy comes out at -438 meV per atom. The energy relative to the lowest polymorph listed for this composition comes out at 76 meV per atom. The electronic total energy is -12.5 eV/cell.

***

No. 12
Compound: CaCdGe2As
Source: Alexandria
Functional: PBE
Structure: optimized geometry

Geometry as POSCAR:
```
CaCdGe2As
1.0
-4.827 -0.727 1.541
-0.663 -3.579 -3.764
1.576 -3.665 3.207
Cd Ca Ge As
1 1 2 1
direct
0.000 0.500 0.000 Cd
0.500 0.500 0.500 Ca
0.000 0.000 0.500 Ge
0.500 0.000 0.000 Ge
0.000 0.000 0.000 As
```

Computed properties:
Its calculated volume is 27.4 A^3/atom. The space group is P4/mmm. The value obtained for the formation energy is 0.22 eV per atom. The energy relative to the lowest polymorph listed for this composition comes out at 0 meV per atom. The electronic total energy is -15.7 eV/cell.

***

No. 13
Compound: CaCdGe2As
Source: Alexandria
Functional: PBE
Structure: optimized geometry

Geometry as POSCAR:
```
CaCdGe2As
1.0
-3.058 -3.540 1.705
4.325 -2.209 3.173
-1.287 2.944 3.804
Cd As Ca Ge
1 1 1 2
direct
0.000 0.000 0.000 Cd
0.500 0.500 0.500 As
0.000 0.500 0.000 Ca
0.500 0.000 0.000 Ge
0.000 0.000 0.500 Ge
```

Computed properties:
Its calculated volume is 28.8 A^3/atom. The space group is P4/mmm. The value obtained for the formation energy is 0.53 eV per atom. The energy relative to the lowest polymorph listed for this composition comes out at 304 meV per atom. The electronic total energy is -14.2 eV/cell.

***

| no. | density of states at the Fermi level (states/eV/f.u.) |
| --- | --- |
| 1 | 1.96 |
| 2 | 2.92 |
| 3 | 3.40 |
| 4 | 0.80 |
| 5 | 0.05 |
| 6 | 0.55 |
| 7 | 1.90 |
| 8 | 3.88 |
| 9 | 3.07 |
| 10 | 3.40 |
| 11 | 2.33 |
| 12 | 2.71 |
| 13 | 3.32 |